1.
# PBE Al2InPd5, relaxed
data_Al2InPd5
_chemical_formula_sum 'Al4 In2 Pd10'
_symmetry_space_group_name_H-M 'P b a m'
_symmetry_Int_Tables_number 55
_cell_length_a 5.612
_cell_length_b 11.092
_cell_length_c 4.025
_cell_angle_alpha 90.00
_cell_angle_beta 90.00
_cell_angle_gamma 90.00
loop_
_symmetry_equiv_pos_as_xyz
'x,y,z'
'-x,-y,-z'
'-x,-y,z'
'x,y,-z'
'x+1/2,-y+1/2,-z'
'-x+1/2,y+1/2,z'
'-x+1/2,y+1/2,-z'
'x+1/2,-y+1/2,z'
loop_
_atom_site_label
_atom_site_type_symbol
_atom_site_fract_x
_atom_site_fract_y
_atom_site_fract_z
Al1 Al 0.174 0.146 0.000
In1 In 0.000 0.500 0.500
Pd1 Pd 0.000 0.000 0.500
Pd2 Pd 0.064 0.741 0.500
Pd3 Pd 0.219 0.382 0.000
# energy relative to the elements: -0.682 eV per atom
# total DFT energy (no corrections): -5.206 eV/atom



2.
# PBE TeIr2Au, relaxed
data_TeIr2Au
_chemical_formula_sum 'Te1 Ir2 Au1'
_symmetry_space_group_name_H-M 'P m m 2'
_symmetry_Int_Tables_number 25
_cell_length_a 2.852
_cell_length_b 3.674
_cell_length_c 7.306
_cell_angle_alpha 90.00
_cell_angle_beta 90.00
_cell_angle_gamma 90.00
loop_
_symmetry_equiv_pos_as_xyz
'x,y,z'
'-x,-y,z'
'-x,y,z'
'x,-y,z'
loop_
_atom_site_label
_atom_site_type_symbol
_atom_site_fract_x
_atom_site_fract_y
_atom_site_fract_z
Te1 Te 0.000 0.000 0.000
Ir1 Ir 0.000 0.500 0.278
Ir2 Ir 0.500 0.000 0.445
Au1 Au 0.000 0.500 0.680
# polymorph energy (0 for the lowest one): 0.00 kcal/mol of atoms
# formation energy from raw total energies: 28 kJ per mole of atoms
# total DFT energy (no corrections): -5.743 eV/atom



3.
# PBE NaAlHg2F8, relaxed
data_NaAlHg2F8
_chemical_formula_sum 'Na1 Al1 Hg2 F8'
_symmetry_space_group_name_H-M 'P -1'
_symmetry_Int_Tables_number 2
_cell_length_a 5.055
_cell_length_b 5.061
_cell_length_c 6.981
_cell_angle_alpha 89.53
_cell_angle_beta 89.62
_cell_angle_gamma 89.74
loop_
_symmetry_equiv_pos_as_xyz
'x,y,z'
'-x,-y,-z'
loop_
_atom_site_label
_atom_site_type_symbol
_atom_site_fract_x
_atom_site_fract_y
_atom_site_fract_z
Na1 Na 0.000 0.000 0.000
Al1 Al 0.000 0.000 0.500
Hg1 Hg 0.492 0.493 0.257
F1 F 0.171 0.822 0.692
F2 F 0.177 0.829 0.308
F3 F 0.263 0.262 0.502
F4 F 0.306 0.303 0.994
# formation energy from raw total energies: -227 kJ per mole of atoms
# total DFT energy (no corrections): -4.067 eV/atom



4.
# PBE InSnPb2, relaxed
data_InSnPb2
_chemical_formula_sum 'In4 Sn4 Pb8'
_symmetry_space_group_name_H-M 'I -4 2 d'
_symmetry_Int_Tables_number 122
_symmetry_space_group_name_Hall 'I -4 2bw'
_cell_length_a 6.908
_cell_length_b 6.908
_cell_length_c 13.361
_cell_angle_alpha 90.00
_cell_angle_beta 90.00
_cell_angle_gamma 90.00
loop_
_atom_site_label
_atom_site_type_symbol
_atom_site_fract_x
_atom_site_fract_y
_atom_site_fract_z
In1 In 0.000 0.000 0.000
Sn1 Sn 0.000 0.000 0.500
Pb1 Pb 0.249 0.250 0.625
# energy relative to the elements: 0.214 eV per atom
# polymorph energy (0 for the lowest one): 4.61 kcal/mol of atoms
# total DFT energy (no corrections): -3.326 eV/atom



5.
# PBE LiRh3W, relaxed
data_LiRh3W
_chemical_formula_sum 'Li1 Rh3 W1'
_symmetry_space_group_name_H-M 'P m -3 m'
_symmetry_Int_Tables_number 221
_symmetry_space_group_name_Hall '-P 4 2 3'
_cell_length_a 4.721
_cell_length_b 4.721
_cell_length_c 4.721
_cell_angle_alpha 90.00
_cell_angle_beta 90.00
_cell_angle_gamma 90.00
loop_
_atom_site_label
_atom_site_type_symbol
_atom_site_fract_x
_atom_site_fract_y
_atom_site_fract_z
Li1 Li 0.000 0.000 0.000
Rh1 Rh 0.000 0.500 0.500
W1 W 0.500 0.500 0.500
# energy relative to the elements: 0.815 eV per atom
# polymorph energy (0 for the lowest one): 15.72 kcal/mol of atoms
# total DFT energy (no corrections): -6.569 eV/atom



6.
# PBE Nb6PbSe12, relaxed
data_Nb6PbSe12
_chemical_formula_sum 'Nb18 Pb3 Se36'
_symmetry_space_group_name_H-M 'R -3 m'
_symmetry_Int_Tables_number 166
_symmetry_space_group_name_Hall '-R 3 2"'
_cell_length_a 12.3350
_cell_length_b 12.3350
_cell_length_c 9.9064
_cell_angle_alpha 90.00
_cell_angle_beta 90.00
_cell_angle_gamma 120.00
loop_
_atom_site_label
_atom_site_type_symbol
_atom_site_fract_x
_atom_site_fract_y
_atom_site_fract_z
Nb1 Nb 0.0673 0.5336 0.2862
Pb1 Pb 0.0000 0.0000 0.0000
Se1 Se 0.0000 0.3747 0.5000
Se2 Se 0.0946 0.1892 0.3604
# formation energy from raw total energies: -33 kJ per mole of atoms
# total DFT energy (no corrections): -5.919 eV/atom



7.
# PBE Ca3ZrNi, relaxed
data_Ca3ZrNi
_chemical_formula_sum 'Ca3 Zr1 Ni1'
_symmetry_space_group_name_H-M 'P m -3 m'
_symmetry_Int_Tables_number 221
_symmetry_space_group_name_Hall '-P 4 2 3'
_cell_length_a 5.631
_cell_length_b 5.631
_cell_length_c 5.631
_cell_angle_alpha 90.00
_cell_angle_beta 90.00
_cell_angle_gamma 90.00
loop_
_atom_site_label
_atom_site_type_symbol
_atom_site_fract_x
_atom_site_fract_y
_atom_site_fract_z
Ca1 Ca 0.000 0.000 0.500
Zr1 Zr 0.000 0.000 0.000
Ni1 Ni 0.500 0.500 0.500
# energy relative to the elements: 1.365 eV per atom
# polymorph energy (0 for the lowest one): 21.27 kcal/mol of atoms
# total DFT energy (no corrections): -2.702 eV/atom



no.,spin magnetization (μB/cell)
1,0.0
2,0.0
3,0.0
4,0.0
5,0.0
6,9.1
7,2.4